Record 1
Below is a geometry-optimized TlCuAgCl5 structure, with properties calculated at the PBE level.

SG: C2/c (15)
N(E_F) (states/eV per cell): 11.3
Crystal system: monoclinic

Cell: 7.592 7.592 9.268 Å, 101.48 101.48 117.49°
Site moments in Bohr magnetons follow the coordinates.
Atoms (fractional coordinates):
Cl (0.703, 0.164, 0.406)  0.05
Cl (0.374, 0.289, 0.070)  0.01
Cl (0.070, 0.930, 0.250)  -0.02
Tl (0.316, 0.684, 0.250)  0.01
Cu (0.341, 0.659, 0.750)  0.19
Cl (0.164, 0.703, 0.906)  0.05
Cu (0.659, 0.341, 0.250)  0.19
Cl (0.626, 0.711, 0.930)  0.01
Ag (0.000, 0.000, 0.000)  -0.03
Cl (0.289, 0.374, 0.570)  0.01
Cl (0.711, 0.626, 0.430)  0.01
Cl (0.297, 0.836, 0.594)  0.05
Tl (0.684, 0.316, 0.750)  0.01
Cl (0.836, 0.297, 0.094)  0.05
Cl (0.930, 0.070, 0.750)  -0.02
Ag (0.000, 0.000, 0.500)  -0.03

Record 2
Below is a geometry-optimized TlCuAgCl3 structure, with properties calculated at the PBE level.

SG: Cmcm (63)
N(E_F) (states/eV per cell): 0.0
Crystal system: orthorhombic

Cell: 4.108 6.928 11.167 Å, 90.00 90.00 107.25°
Atoms (fractional coordinates):
Ag (0.000, 0.000, 0.000)
Cl (0.368, 0.736, 0.938)
Ag (0.000, 0.000, 0.500)
Cl (0.632, 0.264, 0.438)
Tl (0.739, 0.478, 0.750)
Cl (0.368, 0.736, 0.562)
Cu (0.423, 0.846, 0.750)
Cu (0.577, 0.154, 0.250)
Cl (0.632, 0.264, 0.062)
Tl (0.261, 0.522, 0.250)
Cl (0.043, 0.087, 0.750)
Cl (0.957, 0.913, 0.250)

Record 3
Below is a geometry-optimized Tl4CuAg3Cl12 structure, with properties calculated at the PBE level.

SG: Im-3m (229)
N(E_F) (states/eV per cell): 6.5
Crystal system: cubic

Cell: 8.780 8.780 8.780 Å, 109.47 109.47 109.47°
Atoms (fractional coordinates):
Tl (0.500, 0.500, 0.500)
Tl (0.500, 0.000, 0.000)
Ag (0.500, 0.500, 0.000)
Tl (0.000, 0.000, 0.500)
Cl (0.000, 0.763, 0.763)
Ag (0.000, 0.500, 0.500)
Cl (0.500, 0.250, 0.750)
Cl (0.500, 0.750, 0.250)
Ag (0.500, 0.000, 0.500)
Cl (0.750, 0.250, 0.500)
Cl (0.250, 0.750, 0.500)
Cl (0.763, 0.000, 0.763)
Cu (0.000, 0.000, 0.000)
Cl (0.237, 0.000, 0.237)
Cl (0.763, 0.763, 0.000)
Cl (0.250, 0.500, 0.750)
Tl (0.000, 0.500, 0.000)
Cl (0.750, 0.500, 0.250)
Cl (0.000, 0.237, 0.237)
Cl (0.237, 0.237, 0.000)

Record 4
Below is a geometry-optimized Tl2CuAgCl4 structure, with properties calculated at the PBE level.

SG: I-42m (121)
Crystal system: tetragonal

Cell: 7.209 6.469 6.469 Å, 71.91 56.14 56.14°
Site moments in Bohr magnetons follow the coordinates.
Atoms (fractional coordinates):
Cu (0.500, 0.000, 0.000)  0.10
Cl (0.886, 0.000, 0.675)  0.00
Ag (0.000, 0.000, 0.000)  0.00
Tl (0.000, 0.500, 0.500)  0.00
Cl (0.561, 0.000, 0.325)  0.00
Tl (0.500, 0.500, 0.500)  0.00
Cl (0.114, 0.325, 0.000)  0.00
Cl (0.439, 0.675, 0.000)  0.00

Record 5
Below is a geometry-optimized TlCuAg2Cl6 structure, with properties calculated at the PBE level.

SG: C2/c (15)
N(E_F) (states/eV per cell): 4.0
Crystal system: monoclinic

Cell: 8.801 9.464 9.464 Å, 67.86 64.96 64.96°
Atoms (fractional coordinates):
Cl (0.588, 0.592, 0.754)
Cl (0.526, 0.112, 0.660)
Cl (0.328, 0.246, 0.974)
Cl (0.172, 0.026, 0.754)
Ag (0.166, 0.350, 0.236)
Ag (0.834, 0.650, 0.764)
Cl (0.912, 0.246, 0.408)
Tl (0.250, 0.785, 0.215)
Cl (0.412, 0.408, 0.246)
Ag (0.666, 0.236, 0.350)
Cu (0.250, 0.182, 0.818)
Tl (0.750, 0.215, 0.785)
Cu (0.750, 0.818, 0.182)
Cl (0.672, 0.754, 0.026)
Cl (0.828, 0.974, 0.246)
Cl (0.026, 0.660, 0.112)
Ag (0.334, 0.764, 0.650)
Cl (0.474, 0.888, 0.340)
Cl (0.974, 0.340, 0.888)
Cl (0.088, 0.754, 0.592)

Record 6
Below is a geometry-optimized TlCu3Ag2Cl8 structure, with properties calculated at the PBE level.

SG: R3m (160)
N(E_F) (states/eV per cell): 10.9
Crystal system: trigonal

Cell: 7.644 7.644 8.014 Å, 61.52 61.52 60.00°
Site moments in Bohr magnetons follow the coordinates.
Atoms (fractional coordinates):
Cl (0.748, 0.316, 0.189)  0.08
Cl (0.316, 0.748, 0.189)  0.08
Cl (0.250, 0.250, 0.249)  0.02
Cl (0.248, 0.698, 0.806)  0.06
Tl (0.875, 0.875, 0.376)  0.05
Ag (0.498, 0.498, 0.507)  0.01
Cl (0.248, 0.248, 0.806)  0.06
Cl (0.748, 0.748, 0.189)  0.08
Cl (0.698, 0.248, 0.806)  0.06
Cl (0.736, 0.736, 0.791)  0.05
Ag (0.123, 0.123, 0.630)  0.02
Cu (0.998, 0.503, 0.995)  0.32
Cu (0.503, 0.503, 0.995)  0.32
Cu (0.503, 0.998, 0.995)  0.32

Respective formation energy without anion corrections values: -0.562, -0.612, -0.655, -0.691, -0.531, -0.471 eV/atom.